Density functional theory data (GGA+U) for Mg2TaMnO6 after structural relaxation.

Cell lengths 5.244, 5.493, 7.516 Å; angles 90.00, 90.00, 94.71 degrees
Positions (direct):
O 0.697 0.665 0.930
Ta 0.000 0.500 0.500
Mg 0.016 0.050 0.250
O 0.175 0.824 0.063
O 0.303 0.335 0.070
Mg 0.502 0.561 0.250
O 0.136 0.555 0.750
Mn 0.500 0.000 0.000
O 0.864 0.445 0.250
O 0.825 0.176 0.563
O 0.825 0.176 0.937
Mg 0.498 0.439 0.750
Ta 0.000 0.500 0.000
Mn 0.500 0.000 0.500
O 0.697 0.665 0.570
O 0.303 0.335 0.430
O 0.628 0.931 0.250
Mg 0.984 0.950 0.750
O 0.175 0.824 0.437
O 0.372 0.069 0.750

Electronic total energy = -7.654 eV per atom
Volume = 215.8 Å³ per cell
Offset from the most stable computed form = 0.53 eV/f.u.
Space-group type = P2_1/m (11)